1.
CsBS2 | PBE | optimized geometry

Values from the calculation:
Mass density   2.467 g/cm3
Distance to the lowest polymorph of the same formula   0.0105 eV per atom
Formation energy without anion corrections   -0.8771 eV per atom
Volume   559.63 Å³ per cell
M_tot   0.00 μB per cell
Crystal system   orthorhombic

Lattice parameters (Å, degrees): 18.011 7.282 7.314 90.00 144.31 90.00
Fractional coordinates of all 16 atoms:
Cs 0.249 0.000 0.998
Cs 0.751 0.000 0.002
Cs 0.251 0.500 0.502
Cs 0.749 0.500 0.498
S 0.863 0.000 0.726
S 0.137 0.000 0.274
S 0.637 0.500 0.774
S 0.363 0.500 0.226
S 0.000 0.714 0.284
S 0.000 0.286 0.716
S 0.500 0.214 0.216
S 0.500 0.786 0.784
B 0.500 0.383 0.384
B 0.500 0.617 0.616
B 0.000 0.883 0.116
B 0.000 0.117 0.884


2.
CaHf2BiPb | PBE | optimized geometry

Values from the calculation:
ΔE_f   0.90 eV per atom
Mass density   7.420 g/cm3
Volume   181.99 Å³ per cell
M_tot   2.08 μB per cell
Crystal system   tetragonal

Lattice parameters (Å, degrees): 5.460 6.105 5.460 90.00 90.00 90.00
Site moments in Bohr magnetons follow the coordinates.
Fractional coordinates of all 5 atoms:
Pb 0.000 0.500 0.000  -0.03
Ca 0.500 0.500 0.500  0.05
Hf 0.000 0.000 0.500  0.61
Hf 0.500 0.000 0.000  0.43
Bi 0.000 0.000 0.000  0.02


3.
K2TmTlF6 | PBE | optimized geometry

Values from the calculation:
Mass density   4.536 g/cm3
Formation energy without anion corrections   -3.1594 eV per atom
Volume   207.03 Å³ per cell
M_tot   0.00 μB per cell
Crystal system   trigonal

Lattice parameters (Å, degrees): 6.543 6.544 6.742 60.96 60.96 59.99
Fractional coordinates of all 10 atoms:
K 0.537 0.537 0.390
K 0.027 0.027 0.918
Tm 0.320 0.320 0.040
Tl 0.807 0.807 0.580
F 0.556 0.218 0.234
F 0.217 0.993 0.234
F 0.993 0.556 0.234
F 0.418 0.651 0.795
F 0.651 0.137 0.795
F 0.137 0.417 0.795


4.
TaBeRu | PBE | optimized geometry

Values from the calculation:
ΔE_f   0.62 eV per atom
Mass density   9.535 g/cm3
Distance to the lowest polymorph of the same formula   1.1171 eV per atom
Volume   50.69 Å³ per cell
M_tot   0.00 μB per cell
Crystal system   cubic

Lattice parameters (Å, degrees): 4.154 4.154 4.154 60.00 60.00 60.00
Fractional coordinates of all 3 atoms:
Ru 0.500 0.500 0.500
Be 0.000 0.000 0.000
Ta 0.750 0.750 0.750


5.
Be4AsO2 | PBE | optimized geometry

Values from the calculation:
Mass density   2.662 g/cm3
Formation energy without anion corrections   -0.2617 eV per atom
Volume   89.18 Å³ per cell
M_tot   0.00 μB per cell
Crystal system   tetragonal

Lattice parameters (Å, degrees): 4.212 4.212 5.844 68.88 68.88 90.00
Fractional coordinates of all 7 atoms:
Be 0.766 0.766 0.468
Be 0.234 0.234 0.532
Be 0.000 0.500 0.000
Be 0.500 0.000 0.000
As 0.000 0.000 0.000
O 0.625 0.625 0.751
O 0.375 0.375 0.249


6.
ScCdN2 | PBE | optimized geometry

Values from the calculation:
Mass density   4.853 g/cm3
Formation energy without anion corrections   -0.2201 eV per atom
Volume   126.86 Å³ per cell
M_tot   2.00 μB per cell
Crystal system   tetragonal

Lattice parameters (Å, degrees): 4.984 4.984 6.204 66.32 66.32 90.00
Site moments in Bohr magnetons follow the coordinates.
Fractional coordinates of all 8 atoms:
Sc 0.500 0.500 0.000  0.02
Sc 0.250 0.750 0.500  0.03
N 0.596 0.125 0.250  0.33
N 0.154 0.625 0.250  0.34
N 0.375 0.404 0.750  0.30
N 0.875 0.846 0.750  0.32
Cd 0.000 0.000 0.000  0.07
Cd 0.750 0.250 0.500  0.07